[1]
A relaxed Er3TmTe2C2 crystal. Source: OQMD, functional PBE.

Space-group type: P3m1 (156)
Magnetization (μB/f.u.): 0.006

a = 3.787 Å, b = 3.787 Å, c = 13.892 Å
α = 90.00°, β = 90.00°, γ = 120.00°
Positions (direct):
Er 0.000 0.000 0.000
Er 0.000 0.000 0.315
Er 0.333 0.667 0.500
Tm 0.333 0.667 0.815
Te 0.000 0.000 0.658
Te 0.333 0.667 0.158
C 0.667 0.333 0.408
C 0.667 0.333 0.907

***

[2]
A relaxed Y3ErTe2C2 crystal. Source: OQMD, functional PBE.

Space-group type: P3m1 (156)
Magnetization (μB/f.u.): 0.003

a = 3.830 Å, b = 3.830 Å, c = 14.003 Å
α = 90.00°, β = 90.00°, γ = 120.00°
Positions (direct):
Y 0.000 0.000 0.000
Y 0.000 0.000 0.314
Y 0.333 0.667 0.502
Er 0.333 0.667 0.815
Te 0.000 0.000 0.660
Te 0.333 0.667 0.157
C 0.667 0.333 0.408
C 0.667 0.333 0.905

***

[3]
A relaxed Y3ErTe2C2 crystal. Source: OQMD, functional PBE.

Space-group type: P3m1 (156)
Magnetization (μB/f.u.): 0.003

a = 3.830 Å, b = 3.830 Å, c = 13.995 Å
α = 90.00°, β = 90.00°, γ = 120.00°
Positions (direct):
Y 0.000 0.000 0.000
Y 0.000 0.000 0.314
Y 0.667 0.333 0.812
Er 0.667 0.333 0.500
Te 0.000 0.000 0.655
Te 0.667 0.333 0.157
C 0.333 0.667 0.409
C 0.333 0.667 0.907

***

[4]
A relaxed ErZr3Te2C2 crystal. Source: OQMD, functional PBE.

Space-group type: P3m1 (156)
Magnetization (μB/f.u.): 0.008

a = 3.592 Å, b = 3.592 Å, c = 13.583 Å
α = 90.00°, β = 90.00°, γ = 120.00°
Positions (direct):
Er 0.000 0.000 0.000
Zr 0.000 0.000 0.675
Zr 0.667 0.333 0.185
Zr 0.667 0.333 0.501
Te 0.000 0.000 0.343
Te 0.667 0.333 0.830
C 0.333 0.667 0.100
C 0.333 0.667 0.588

***

[5]
A relaxed Er3TlC crystal. Source: OQMD, functional PBE.

Space-group type: Pm-3m (221)
Magnetization (μB/f.u.): 0.000

a = 4.862 Å, b = 4.862 Å, c = 4.862 Å
α = 90.00°, β = 90.00°, γ = 90.00°
Positions (direct):
Er 0.000 0.000 0.500
Er 0.000 0.500 0.000
Er 0.500 0.000 0.000
Tl 0.500 0.500 0.500
C 0.000 0.000 0.000

***

[6]
A relaxed Er2TlC crystal. Source: OQMD, functional PBE.

Space-group type: R-3m (166)
Magnetization (μB/f.u.): 0.007

a = 8.291 Å, b = 8.291 Å, c = 8.291 Å
α = 24.94°, β = 24.94°, γ = 24.94°
Positions (direct):
Er 0.222 0.222 0.222
Er 0.778 0.778 0.778
Tl 0.000 0.000 0.000
C 0.500 0.500 0.500

***

[7]
A relaxed Er3ZrTl2C2 crystal. Source: OQMD, functional PBE.

Space-group type: P3m1 (156)
Magnetization (μB/f.u.): 0.003

a = 3.522 Å, b = 3.522 Å, c = 15.845 Å
α = 90.00°, β = 90.00°, γ = 120.00°
Positions (direct):
Er 0.000 0.000 0.000
Er 0.000 0.000 0.336
Er 0.667 0.333 0.830
Zr 0.667 0.333 0.498
Tl 0.000 0.000 0.661
Tl 0.667 0.333 0.169
C 0.333 0.667 0.427
C 0.333 0.667 0.915

***

[8]
A relaxed ErTmW2C3 crystal. Source: OQMD, functional PBE.

Space-group type: Cm (8)
Magnetization (μB/f.u.): 0.004

a = 6.073 Å, b = 6.073 Å, c = 5.660 Å
α = 111.01°, β = 111.01°, γ = 31.50°
Positions (direct):
Er 0.000 0.000 0.000
Tm 0.779 0.779 0.356
W 0.235 0.235 0.851
W 0.544 0.544 0.506
C 0.142 0.142 0.441
C 0.389 0.389 0.179
C 0.638 0.638 0.917

***

[9]
A relaxed YErTm2C3 crystal. Source: OQMD, functional PBE.

Space-group type: Cm (8)
Magnetization (μB/f.u.): 0.002

a = 6.685 Å, b = 6.685 Å, c = 6.031 Å
α = 114.30°, β = 114.30°, γ = 31.75°
Positions (direct):
Y 0.000 0.000 0.000
Er 0.729 0.729 0.012
Tm 0.231 0.231 0.561
Tm 0.498 0.498 0.452
C 0.086 0.086 0.713
C 0.363 0.363 0.007
C 0.645 0.645 0.299

***

[10]
A relaxed YErC2 crystal. Source: OQMD, functional PBE.

Space-group type: Amm2 (38)
Magnetization (μB/f.u.): 0.000

a = 3.864 Å, b = 4.355 Å, c = 4.355 Å
α = 79.55°, β = 90.00°, γ = 90.00°
Positions (direct):
Y 0.000 0.000 0.000
Er 0.500 0.434 0.434
C 0.500 0.656 0.907
C 0.500 0.907 0.656

***

[11]
A relaxed Gd4CF5 crystal. Source: OQMD, functional PBE.

Space-group type: C2/m (12)
Magnetization (μB/f.u.): 0.023

a = 7.585 Å, b = 7.585 Å, c = 6.845 Å
α = 115.41°, β = 115.41°, γ = 26.05°
Positions (direct):
Gd 0.002 0.002 0.260
Gd 0.315 0.315 0.312
Gd 0.685 0.685 0.688
Gd 0.998 0.998 0.740
C 0.500 0.500 0.500
F 0.173 0.173 0.952
F 0.176 0.176 0.403
F 0.500 0.500 0.000
F 0.824 0.824 0.597
F 0.827 0.827 0.048

***

[12]
A relaxed GdHoCF2 crystal. Source: OQMD, functional PBE.

Space-group type: P3m1 (156)
Magnetization (μB/f.u.): 0.000

a = 3.640 Å, b = 3.640 Å, c = 6.345 Å
α = 90.00°, β = 90.00°, γ = 120.00°
Positions (direct):
Gd 0.000 0.000 0.000
Ho 0.333 0.667 0.574
C 0.667 0.333 0.785
F 0.000 0.000 0.408
F 0.333 0.667 0.180

***

[13]
A relaxed NdGdCF2 crystal. Source: OQMD, functional PBE.

Space-group type: P3m1 (156)
Magnetization (μB/f.u.): 0.000

a = 3.732 Å, b = 3.732 Å, c = 6.481 Å
α = 90.00°, β = 90.00°, γ = 120.00°
Positions (direct):
Nd 0.000 0.000 0.000
Gd 0.667 0.333 0.432
C 0.333 0.667 0.219
F 0.000 0.000 0.591
F 0.667 0.333 0.813

***

| no. | uncorrected energy (eV/atom) |
| --- | --- |
| 1 | -6.25 |
| 2 | -6.97 |
| 3 | -6.97 |
| 4 | -7.75 |
| 5 | -5.55 |
| 6 | -5.59 |
| 7 | -6.12 |
| 8 | -9.32 |
| 9 | -7.07 |
| 10 | -7.39 |
| 11 | -6.38 |
| 12 | -6.85 |
| 13 | -6.80 |